1.
Density functional theory data (PBE) for an optimized crystal structure of BaMgCd2Ag.

It has space group P4/mmm (No. 123), with a = 5.390 Å, b = 5.390 Å, c = 5.221 Å, α = 90.00°, β = 90.00° and γ = 90.00°. Symmetry generates all atoms from Ba at (0.000, 0.000, 0.000), Mg at (0.500, 0.500, 0.000), Cd at (0.000, 0.500, 0.500) and Ag at (0.500, 0.500, 0.500).

Its density is 5.4 g/cm3. The value obtained for the calculated formation energy is -0.1045 eV per atom. The magnetization comes out at 0.00 μB per atom. As for the density of states at the Fermi level: 3.361 states/eV/cell.

***

2.
Density functional theory data (PBE) for an optimized crystal structure of BaMgCdAg.

It has space group R3m (No. 160, hexagonal axes), with a = 4.9341 Å, b = 4.9341 Å, c = 17.4713 Å, α = 90.00°, β = 90.00° and γ = 120.00°. Symmetry generates all atoms from Ba at (0.0000, 0.0000, 0.0000), Mg at (0.0000, 0.0000, 0.4888), Cd at (0.0000, 0.0000, 0.2013) and Ag at (0.0000, 0.0000, 0.8037).

Its density is 5.2 g/cm3. The value obtained for the calculated formation energy is -0.2396 eV per atom. The magnetization comes out at 0.00 μB per atom. As for the density of states at the Fermi level: 5.934 states/eV/cell.